Compound: Sr2HgIr
Source: Alexandria
Functional: PBE
Structure: optimized geometry

Summary:
DFT formation energy = 8.0 kJ/mol of atoms
Total DFT energy (no corrections) = -3.049 eV/atom
Space group = No. 99

abc: 4.403 4.403 6.305
angles: 90.00 90.00 90.00
Positions (direct):
Sr  0.000  0.000  0.000
Sr  0.500  0.500  0.410
Hg  0.000  0.000  0.524
Ir  0.500  0.500  0.906